Material: ZnOsW2
Method: DFT, PBE
State: relaxed

## Properties
uncorrected energy	-9.34	eV per atom
SG	Cmm2, No. 35
energy relative to the elements	0.261	eV/atom
crystal system	orthorhombic
ρ	16.8	g/cm³
density of states at the Fermi level	3.4	states/eV/f.u.

Cell: 2.723 2.723 8.888 Å, 90.00 90.00 110.45°
Fractional coordinates of all 4 atoms:
Os1 0.500 0.500 0.751
W1 0.000 0.000 0.995
W2 0.500 0.500 0.250
Zn1 0.000 0.000 0.503